4
Lattice="-3.0668 1.7048 -0.0862 -1.1363 -1.9066 2.7190 2.3184 4.3747 4.0365" Properties=species:S:1:pos:R:3 comment="ZnSiAs2 | Alexandria | PBE | relaxed" relative_energy_mev_per_atom=242.3 total_energy_ev_per_fu=-15.8 crystal_system=tetragonal raw_formation_energy_ev_per_atom=0.045 spacegroup="No. 99" m_tot_mub_per_fu=0.000 pbc="T T T"
As 1.8661 3.5213 3.2491
As -1.3435 1.3295 2.6362
Si 1.0002 1.8874 1.7415
Zn 0.0700 3.9968 5.0973